This record from the Alexandria database describes PmZn2Cd6 after structural relaxation. The functional is PBE-GGA.

a = 4.382 Å, b = 4.382 Å, c = 10.206 Å
α = 90.00°, β = 90.00°, γ = 90.00°
Space group P4/mmm (No. 123)
Inequivalent atoms, fractional coordinates:
1 Pm 0.000 0.000 0.000 x1
2 Zn 0.500 0.500 0.117 x2
3 Cd 0.000 0.000 0.500 x1
4 Cd 0.000 0.500 0.279 x4
5 Cd 0.500 0.500 0.500 x1

Formation energy from the elements   -0.154 eV/atom
Density   8.05 g cm⁻³

---

This record from the Alexandria database describes Pm4Zn5Cd after structural relaxation. The functional is PBE-GGA.

a = 3.632 Å, b = 3.632 Å, c = 17.750 Å
α = 90.00°, β = 90.00°, γ = 90.00°
Space group P4/mmm (No. 123)
Inequivalent atoms, fractional coordinates:
1 Pm 0.000 0.000 0.104 x2
2 Pm 0.000 0.000 0.309 x2
3 Zn 0.500 0.500 0.000 x1
4 Zn 0.500 0.500 0.205 x2
5 Zn 0.500 0.500 0.415 x2
6 Cd 0.000 0.000 0.500 x1

Formation energy from the elements   -0.254 eV/atom
Density   7.23 g cm⁻³